First-principles (PBE-GGA) data for crystalline K2TaOs at its relaxed geometry, as listed in Alexandria.

Cell and atoms, written as POSCAR:
```
K2TaOs
1.0
0.0000 3.5196 3.5196
3.5196 0.0000 3.5196
3.5196 3.5196 0.0000
K Ta Os
2 1 1
Direct
0.0000 0.0000 0.0000 K
0.2500 0.2500 0.2500 K
0.5000 0.5000 0.5000 Ta
0.7500 0.7500 0.7500 Os
```

Computed properties:
energy of formation from the pure elements	1601	meV per atom
E	-4.719	eV per atom
polymorph energy (0 for the lowest one)	1000.9	meV per atom